# Th3Al3Au2 | Alexandria via LeMat-Bulk | PBE-GGA | optimized geometry
data_Th3Al3Au2
_chemical_formula_sum 'Th12 Al12 Au8'
_cell_length_a 4.568
_cell_length_b 10.854
_cell_length_c 15.167
_cell_angle_alpha 90.00
_cell_angle_beta 90.00
_cell_angle_gamma 90.00
_space_group_name_H-M_alt 'C m c m'
_space_group_IT_number 63
_space_group_name_Hall '-C 2c 2'
loop_
_atom_site_label
_atom_site_fract_x
_atom_site_fract_y
_atom_site_fract_z
Th1 0.000 0.084 0.114
Th2 0.000 0.362 0.250
Al1 0.000 0.346 0.750
Al2 0.000 0.385 0.037
Au1 0.000 0.208 0.599
# Formation energy from the elements in eV per atom: -0.575
# DOS at the Fermi energy in states/eV/cell: 27.07
# Calculated volume in Å³/cell: 751.9
# Total magnetic moment in μB per formula unit: 0.00